1.
LaCuSeO | SCAN | single point on PBEsol structure

Lattice parameters (Å, degrees): 4.0110 4.0110 8.6188 90.00 90.00 90.00
Last column: nearest neighbours and their distance in Å.
Space group P4/nmm (No. 129, origin choice 2)
Inequivalent atoms, fractional coordinates:
1 La 0.2500 0.2500 0.1430  4 O 2.35
2 Cu 0.2500 0.7500 0.5000  4 Se 2.48
3 Se 0.2500 0.2500 0.6692  4 Cu 2.48
4 O 0.2500 0.7500 0.0000  4 La 2.35

## Properties
Total DFT energy (no corrections)   -187.03 eV per cell
Magnetic moment   0.00 μB per atom
Raw formation energy   -2.23 eV/atom

***

2.
Mg2AgSnSb | SCAN | single point on PBEsol structure

Lattice parameters (Å, degrees): 5.0060 5.0060 5.3525 90.00 90.00 90.00
Last column: nearest neighbours and their distance in Å.
Space group P4/mmm (No. 123)
Inequivalent atoms, fractional coordinates:
1 Mg 0.0000 0.5000 0.0000  2 Ag 2.50
2 Ag 0.0000 0.0000 0.0000  4 Mg 2.50, 2 Sb 2.68
3 Sn 0.5000 0.5000 0.5000  4 Sb 3.54, 8 Mg 3.66
4 Sb 0.0000 0.0000 0.5000  2 Ag 2.68

## Properties
Total DFT energy (no corrections)   -113.25 eV per cell
Magnetic moment   0.00 μB per atom
Raw formation energy   0.25 eV/atom

***

Values of D(E_F), in order: 0.0, 3.0, all in states/eV/cell.